Record 1
An optimized crystal structure of CaTm2Sc. Source: Alexandria via LeMat-Bulk, functional GGA-PBE.

Results
Its energy of formation from the pure elements is 18.7 kJ/mol of atoms. The value obtained for the total magnetization is 0.00 μB/atom. The density of states at the Fermi level comes out at 8.2 states/eV per cell.

a b c (Å): 4.933 4.976 4.976
angles (deg): 90.00 90.00 90.00
Positions (direct):
Sc  0.500  0.500  0.500
Ca  0.500  0.000  0.000
Tm  0.000  0.000  0.500
Tm  0.000  0.500  0.000

Record 2
An optimized crystal structure of CaTm2Sc. Source: Alexandria via LeMat-Bulk, functional GGA-PBE.

Results
Its energy of formation from the pure elements is 7.7 kJ/mol of atoms. The value obtained for the total magnetization is 0.00 μB/atom. The density of states at the Fermi level comes out at 4.4 states/eV per cell.

a b c (Å): 3.795 3.795 8.819
angles (deg): 90.00 90.00 90.00
Positions (direct):
Sc  0.500  0.500  0.000
Ca  0.500  0.500  0.500
Tm  0.000  0.000  0.798
Tm  0.000  0.000  0.202

Record 3
An optimized crystal structure of CaTm2Sc. Source: Alexandria via LeMat-Bulk, functional GGA-PBE.

Results
Its energy of formation from the pure elements is 9.1 kJ/mol of atoms. The value obtained for the total magnetization is 0.00 μB/atom. The density of states at the Fermi level comes out at 5.1 states/eV per cell.

a b c (Å): 3.498 3.498 11.808
angles (deg): 81.48 81.48 60.00
Positions (direct):
Ca  0.501  0.501  0.498
Tm  0.075  0.075  0.774
Tm  0.258  0.258  0.227
Sc  0.666  0.666  0.001

Record 4
An optimized crystal structure of CaYTmSc. Source: Alexandria via LeMat-Bulk, functional GGA-PBE.

Results
Its energy of formation from the pure elements is 18.0 kJ/mol of atoms. The value obtained for the total magnetization is 0.00 μB/atom. The density of states at the Fermi level comes out at 7.4 states/eV per cell.

a b c (Å): 5.601 5.601 5.601
angles (deg): 60.00 60.00 60.00
Positions (direct):
Y  0.750  0.750  0.750
Sc  0.000  0.000  0.000
Ca  0.500  0.500  0.500
Tm  0.250  0.250  0.250